Compound: Mg3Cr2Si4O14
Source: Alexandria via LeMat-Bulk
Functional: PBE+U
Structure: optimized geometry

a b c (Å): 16.636 7.657 9.915
angles (deg): 90.00 123.02 90.00
Space group C2/c (No. 15)
Inequivalent atoms, fractional coordinates:
Mg  0.000  0.104  0.250 (multiplicity 4)
Mg  0.173  0.399  0.399 (multiplicity 8)
Cr  0.000  0.298  0.750 (multiplicity 4)
Cr  0.000  0.500  0.000 (multiplicity 4)
Si  0.122  0.150  0.099 (multiplicity 8)
Si  0.179  0.213  0.702 (multiplicity 8)
O  0.055  0.090  0.913 (multiplicity 8)
O  0.071  0.280  0.166 (multiplicity 8)
O  0.081  0.463  0.919 (multiplicity 8)
O  0.094  0.344  0.679 (multiplicity 8)
O  0.152  0.015  0.728 (multiplicity 8)
O  0.200  0.208  0.561 (multiplicity 8)
O  0.224  0.221  0.130 (multiplicity 8)

E (eV per atom): -7.352
Total moment (μB/cell): 24.0
DOS at the Fermi energy (states/eV/atom): 0.00